The following is a GGA-PBE calculation of a relaxed structure of Cs2YErTe4, from OQMD.

Cell and atoms, written as POSCAR:
```
Cs2YErTe4
1.0
4.531 0.000 0.000
-2.266 3.924 0.000
0.000 0.000 17.789
Cs Y Er Te
2 1 1 4
Cartesian
0.000 2.616 4.439 Cs
2.266 1.308 13.350 Cs
0.000 0.000 8.894 Y
0.000 0.000 0.000 Er
0.000 2.616 10.605 Te
0.000 2.616 16.107 Te
2.266 1.308 1.682 Te
2.266 1.308 7.184 Te
```

Summary:
The calculation puts the final energy at -0.1672 hartree per atom. Its crystal system is trigonal.